Density functional theory data (PBE+U) for crystalline CoBiO3 at its relaxed geometry.

As for the volume: 11.28 Å³ per atom. For the energy, the calculation gives -115.72 eV for the cell shown.

It has space group Pnma (No. 62), with a = 5.5087 Å, b = 7.6456 Å, c = 5.3574 Å, α = 90.00°, β = 90.00° and γ = 90.00°. The asymmetric unit holds Co at (0.0000, 0.0000, 0.0000), Bi at (0.0462, 0.2500, 0.4908), O at (0.0205, 0.7500, 0.0830) and O at (0.2056, 0.5407, 0.7005).